Record 1
Crystalline Rb2CaAs at its relaxed geometry, computed with PBE.

Cell: 13.3407 13.3407 5.6046 Å, 90.00 90.00 90.00°
Closest atoms and distances in Å follow each position.
Element x y z (fractional)
Rb 0.0781 0.2500 0.1250  2 As 3.56
Rb 0.2500 0.5781 0.3750  2 As 3.56
Rb 0.2500 0.9219 0.8750  2 As 3.56
Rb 0.4219 0.2500 0.6250  2 As 3.56
Rb 0.5781 0.7500 0.6250  2 As 3.56
Rb 0.7500 0.0781 0.8750  2 As 3.56
Rb 0.7500 0.4219 0.3750  2 As 3.56
Rb 0.9219 0.7500 0.1250  2 As 3.56
Ca 0.0000 0.0000 0.5000  2 As 2.80
Ca 0.0000 0.5000 0.7500  2 As 2.80
Ca 0.5000 0.0000 0.2500  2 As 2.80
Ca 0.5000 0.5000 0.0000  2 As 2.80
As 0.0000 0.0000 0.0000  2 Ca 2.80
As 0.0000 0.5000 0.2500  2 Ca 2.80
As 0.5000 0.0000 0.7500  2 Ca 2.80
As 0.5000 0.5000 0.5000  2 Ca 2.80

Properties
* DOS at the Fermi energy: 2.5 states/eV/f.u.
* energy of formation from the pure elements: -0.29 eV per atom

Record 2
Crystalline AcThRh at its relaxed geometry, computed with PBE.

Cell: 7.2761 6.3555 5.8646 Å, 72.96 56.63 50.41°
Closest atoms and distances in Å follow each position.
Element x y z (fractional)
Ac 0.1809 0.8191 0.1809  4 Rh 3.25, 3 Ac 3.50-3.57
Ac 0.8191 0.1809 0.8191  4 Rh 3.25, 3 Ac 3.50-3.57
Th 0.3166 0.3166 0.6834  4 Rh 3.02
Th 0.6834 0.6834 0.3166  4 Rh 3.02
Rh 0.2500 0.2500 0.2500  4 Th 3.02, 4 Ac 3.25, 2 Rh 3.30
Rh 0.7500 0.7500 0.7500  4 Th 3.02, 4 Ac 3.25, 2 Rh 3.30

Properties
* DOS at the Fermi energy: 3.7 states/eV/f.u.
* energy of formation from the pure elements: -0.43 eV per atom
* energy relative to the lowest polymorph listed for this composition: 46 meV per atom

Record 3
Crystalline Tb2Dy9In at its relaxed geometry, computed with PBE.

Cell: 4.9366 4.9366 15.0676 Å, 90.00 90.00 90.00°
Closest atoms and distances in Å follow each position.
Element x y z (fractional)
Tb 0.0000 0.0000 0.1677  12 Dy 3.49-3.57
Tb 0.0000 0.0000 0.8323  12 Dy 3.49-3.57
Dy 0.0000 0.5000 0.0000  8 Dy 3.49-3.58, 4 Tb 3.53
Dy 0.0000 0.5000 0.3385  8 Dy 3.47-3.52, 2 In 3.47, 2 Tb 3.57
Dy 0.0000 0.5000 0.6615  2 In 3.47, 8 Dy 3.47-3.52, 2 Tb 3.57
Dy 0.5000 0.0000 0.0000  8 Dy 3.49-3.58, 4 Tb 3.53
Dy 0.5000 0.0000 0.3385  8 Dy 3.47-3.52, 2 In 3.47, 2 Tb 3.57
Dy 0.5000 0.0000 0.6615  2 In 3.47, 8 Dy 3.47-3.52, 2 Tb 3.57
Dy 0.5000 0.5000 0.1717  4 Tb 3.49, 8 Dy 3.52-3.58
Dy 0.5000 0.5000 0.5000  8 Dy 3.47, 4 In 3.49
Dy 0.5000 0.5000 0.8283  4 Tb 3.49, 8 Dy 3.52-3.58
In 0.0000 0.0000 0.5000  12 Dy 3.47-3.49

Properties
* DOS at the Fermi energy: 14.6 states/eV/f.u.
* energy of formation from the pure elements: -0.07 eV per atom

Record 4
Crystalline MgAg3Se at its relaxed geometry, computed with PBE.

Cell: 5.1198 5.1198 5.1198 Å, 90.00 90.00 90.00°
Closest atoms and distances in Å follow each position.
Element x y z (fractional)
Mg 0.0000 0.0000 0.0000  12 Ag 3.62
Ag 0.0000 0.5000 0.5000  2 Se 2.56
Ag 0.5000 0.0000 0.5000  2 Se 2.56
Ag 0.5000 0.5000 0.0000  2 Se 2.56
Se 0.5000 0.5000 0.5000  6 Ag 2.56

Properties
* DOS at the Fermi energy: 2.4 states/eV/f.u.
* energy relative to the lowest polymorph listed for this composition: 0 meV per atom

Record 5
Crystalline LaZrTc2 at its relaxed geometry, computed with PBE.

Cell: 6.7352 6.7352 6.7352 Å, 90.00 90.00 90.00°
Closest atoms and distances in Å follow each position.
Element x y z (fractional)
La 0.0000 0.0000 0.0000  4 Zr 2.92, 4 Tc 2.92
La 0.0000 0.5000 0.5000  4 Zr 2.92, 4 Tc 2.92
La 0.5000 0.0000 0.5000  4 Zr 2.92, 4 Tc 2.92
La 0.5000 0.5000 0.0000  4 Zr 2.92, 4 Tc 2.92
Zr 0.2500 0.2500 0.7500  4 La 2.92, 4 Tc 2.92
Zr 0.2500 0.7500 0.2500  4 La 2.92, 4 Tc 2.92
Zr 0.7500 0.2500 0.2500  4 La 2.92, 4 Tc 2.92
Zr 0.7500 0.7500 0.7500  4 La 2.92, 4 Tc 2.92
Tc 0.0000 0.0000 0.5000  4 Zr 2.92, 4 Tc 2.92
Tc 0.0000 0.5000 0.0000  4 Zr 2.92, 4 Tc 2.92
Tc 0.2500 0.2500 0.2500  4 La 2.92, 4 Tc 2.92
Tc 0.2500 0.7500 0.7500  4 La 2.92, 4 Tc 2.92
Tc 0.5000 0.0000 0.0000  4 Zr 2.92, 4 Tc 2.92
Tc 0.5000 0.5000 0.5000  4 Zr 2.92, 4 Tc 2.92
Tc 0.7500 0.2500 0.7500  4 La 2.92, 4 Tc 2.92
Tc 0.7500 0.7500 0.2500  4 La 2.92, 4 Tc 2.92

Properties
* DOS at the Fermi energy: 5.3 states/eV/f.u.
* energy of formation from the pure elements: 0.27 eV per atom
* energy relative to the lowest polymorph listed for this composition: 201 meV per atom

Record 6
Crystalline Cs3PdI at its relaxed geometry, computed with PBE.

Cell: 6.6868 6.6868 6.6868 Å, 90.00 90.00 90.00°
Closest atoms and distances in Å follow each position.
Element x y z (fractional)
Cs 0.0000 0.0000 0.5000  2 Pd 3.34
Cs 0.0000 0.5000 0.0000  2 Pd 3.34
Cs 0.5000 0.0000 0.0000  2 Pd 3.34
Pd 0.0000 0.0000 0.0000  6 Cs 3.34
I 0.5000 0.5000 0.5000  12 Cs 4.73

Properties
* DOS at the Fermi energy: 0.1 states/eV/f.u.
* energy relative to the lowest polymorph listed for this composition: 40 meV per atom

Record 7
Crystalline CaZr2Cl at its relaxed geometry, computed with PBE.

Cell: 3.2931 5.6203 10.5029 Å, 90.00 90.00 90.00°
Closest atoms and distances in Å follow each position.
Element x y z (fractional)
Ca 0.0000 0.0000 0.0000  6 Ca 3.26-3.29, 4 Zr 3.43
Ca 0.5000 0.5000 0.0000  6 Ca 3.26-3.29, 4 Zr 3.43
Zr 0.0000 0.5000 0.2868  2 Cl 2.78
Zr 0.0000 0.5000 0.7132  2 Cl 2.78
Zr 0.5000 0.0000 0.2868  2 Cl 2.78
Zr 0.5000 0.0000 0.7132  2 Cl 2.78
Cl 0.0000 0.0000 0.5000  4 Zr 2.78
Cl 0.5000 0.5000 0.5000  4 Zr 2.78

Properties
* DOS at the Fermi energy: 3.4 states/eV/f.u.
* energy relative to the lowest polymorph listed for this composition: 399 meV per atom

Record 8
Crystalline ZrIr2Se at its relaxed geometry, computed with PBE.

Cell: 3.5192 3.5192 5.5955 Å, 90.00 90.00 90.00°
Closest atoms and distances in Å follow each position.
Element x y z (fractional)
Zr 0.0000 0.0000 0.0000  2 Se 2.80, 8 Ir 2.84
Ir 0.5000 0.5000 0.2461  2 Ir 2.75-2.84, 4 Zr 2.84, 4 Se 2.87
Ir 0.5000 0.5000 0.7539  2 Ir 2.75-2.84, 4 Zr 2.84, 4 Se 2.87
Se 0.0000 0.0000 0.5000  2 Zr 2.80, 8 Ir 2.87

Properties
* DOS at the Fermi energy: 5.1 states/eV/f.u.
* raw total energy: -7.6973 eV per atom

Record 9
Crystalline Ni2TeMo at its relaxed geometry, computed with PBE.

Cell: 6.1879 6.1879 6.1879 Å, 90.00 90.00 90.00°
Closest atoms and distances in Å follow each position.
Element x y z (fractional)
Ni 0.0000 0.0000 0.0000  4 Te 2.68, 4 Ni 2.68
Ni 0.0000 0.5000 0.5000  4 Te 2.68, 4 Ni 2.68
Ni 0.2500 0.2500 0.2500  4 Mo 2.68, 4 Ni 2.68
Ni 0.2500 0.7500 0.7500  4 Mo 2.68, 4 Ni 2.68
Ni 0.5000 0.0000 0.5000  4 Te 2.68, 4 Ni 2.68
Ni 0.5000 0.5000 0.0000  4 Te 2.68, 4 Ni 2.68
Ni 0.7500 0.2500 0.7500  4 Mo 2.68, 4 Ni 2.68
Ni 0.7500 0.7500 0.2500  4 Mo 2.68, 4 Ni 2.68
Te 0.2500 0.2500 0.7500  4 Ni 2.68, 4 Mo 2.68
Te 0.2500 0.7500 0.2500  4 Mo 2.68, 4 Ni 2.68
Te 0.7500 0.2500 0.2500  4 Mo 2.68, 4 Ni 2.68
Te 0.7500 0.7500 0.7500  4 Ni 2.68, 4 Mo 2.68
Mo 0.0000 0.0000 0.5000  4 Te 2.68, 4 Ni 2.68
Mo 0.0000 0.5000 0.0000  4 Te 2.68, 4 Ni 2.68
Mo 0.5000 0.0000 0.0000  4 Te 2.68, 4 Ni 2.68
Mo 0.5000 0.5000 0.5000  4 Te 2.68, 4 Ni 2.68

Properties
* DOS at the Fermi energy: 5.0 states/eV/f.u.
* raw total energy: -6.1316 eV per atom

Record 10
Crystalline CeGdN2 at its relaxed geometry, computed with PBE.

Cell: 3.5475 3.5475 17.3787 Å, 90.00 90.00 120.00°
Closest atoms and distances in Å follow each position.
Element x y z (fractional)
Ce 0.0000 0.0000 0.0000  6 N 2.50
Ce 0.3333 0.6667 0.6667  6 N 2.50
Ce 0.6667 0.3333 0.3333  6 N 2.50
Gd 0.0000 0.0000 0.5000  6 N 2.52
Gd 0.3333 0.6667 0.1667  6 N 2.52
Gd 0.6667 0.3333 0.8333  6 N 2.52
N 0.0000 0.0000 0.2511  3 Ce 2.50, 3 Gd 2.52
N 0.0000 0.0000 0.7489  3 Ce 2.50, 3 Gd 2.52
N 0.3333 0.6667 0.4156  3 Ce 2.50, 3 Gd 2.52
N 0.3333 0.6667 0.9178  3 Ce 2.50, 3 Gd 2.52
N 0.6667 0.3333 0.0822  3 Ce 2.50, 3 Gd 2.52
N 0.6667 0.3333 0.5844  3 Ce 2.50, 3 Gd 2.52

Properties
* DOS at the Fermi energy: 2.4 states/eV/f.u.
* energy relative to the lowest polymorph listed for this composition: 0 meV per atom

Record 11
Crystalline KFe2Ir at its relaxed geometry, computed with PBE.

Cell: 2.9272 4.6193 10.1076 Å, 90.00 90.00 90.00°
Closest atoms and distances in Å follow each position.
Element x y z (fractional)
K 0.0000 0.0000 0.0000  6 K 2.73-2.93
K 0.5000 0.5000 0.0000  6 K 2.73-2.93
Fe 0.0000 0.5000 0.2920  2 Ir 2.56, 4 Fe 2.73
Fe 0.0000 0.5000 0.7080  2 Ir 2.56, 4 Fe 2.73
Fe 0.5000 0.0000 0.2920  2 Ir 2.56, 4 Fe 2.73
Fe 0.5000 0.0000 0.7080  2 Ir 2.56, 4 Fe 2.73
Ir 0.0000 0.0000 0.5000  4 Fe 2.56, 4 Ir 2.73
Ir 0.5000 0.5000 0.5000  4 Fe 2.56, 4 Ir 2.73

Properties
* DOS at the Fermi energy: 4.4 states/eV/f.u.
* energy of formation from the pure elements: 0.80 eV per atom
* energy relative to the lowest polymorph listed for this composition: 267 meV per atom

Record 12
Crystalline Pa2Ni4As3H2 at its relaxed geometry, computed with PBE.

Cell: 10.3772 10.3772 10.3772 Å, 158.07 158.07 31.21°
Closest atoms and distances in Å follow each position.
Element x y z (fractional)
Pa 0.1905 0.1905 0.0000  1 H 2.35
Pa 0.8095 0.8095 0.0000  1 H 2.35
Ni 0.0745 0.5745 0.5000  2 H 1.97
Ni 0.4255 0.9255 0.5000  2 H 1.97
Ni 0.5745 0.0745 0.5000  2 H 1.97
Ni 0.9255 0.4255 0.5000  2 H 1.97
As 0.3407 0.3407 0.0000  4 Ni 2.60, 4 Pa 2.86
As 0.5000 0.5000 0.0000  8 Ni 2.47
As 0.6593 0.6593 0.0000  4 Ni 2.60, 4 Pa 2.86
H 0.0727 0.0727 0.0000  4 Ni 1.97
H 0.9273 0.9273 0.0000  4 Ni 1.97

Properties
* DOS at the Fermi energy: 11.2 states/eV/f.u.
* raw total energy: -6.0788 eV per atom